1.
A plane-wave DFT calculation with PBE-GGA was carried out for crystalline CaCuP2 at its relaxed geometry.

POSCAR file:
```
CaCuP2
1.0
3.7917 -2.0916 0.0000
3.7917 2.0916 0.0000
-1.5817 0.0000 4.7264
Ca Cu P
1 1 2
direct
0.0000 0.0000 0.0000
0.5000 0.5000 0.5000
0.2406 0.2406 0.6251
0.7594 0.7594 0.3749
```

## Properties
- V: 75.0 Å³ per cell
- Energy: -4.62 eV per atom

***

2.
A plane-wave DFT calculation with PBE-GGA was carried out for crystalline Mn2GeHN at its relaxed geometry.

POSCAR file:
```
Mn2GeHN
1.0
4.4220 -1.3784 0.0000
4.4220 1.3784 0.0000
-0.8671 0.0000 4.3010
Mn Ge H N
2 1 1 1
direct
0.0000 0.0000 0.0000
0.2267 0.2267 0.7346
0.3633 0.3633 0.3234
0.1110 0.1110 0.3732
0.6186 0.6186 0.8552
```

## Properties
- V: 52.4 Å³ per cell
- Offset from the most stable computed form: 142 meV/atom

***

3.
A plane-wave DFT calculation with PBE-GGA was carried out for crystalline SiAuO2 at its relaxed geometry.

POSCAR file:
```
SiAuO2
1.0
1.3605 0.7855 9.6440
-1.3605 0.7855 9.6440
0.0000 -1.5710 9.6440
Si Au O
1 1 2
direct
0.0000 0.0000 0.0000
0.5000 0.5000 0.5000
0.3648 0.3648 0.3648
0.6352 0.6352 0.6352
```

## Properties
- V: 61.8 Å³ per cell
- Formation energy without anion corrections: -7.1 eV/f.u.

***

4.
A plane-wave DFT calculation with PBE-GGA was carried out for crystalline MnCrCu2 at its relaxed geometry.

POSCAR file:
```
MnCrCu2
1.0
1.2615 0.7283 8.6504
-1.2615 0.7283 8.6504
0.0000 -1.4566 8.6504
Mn Cr Cu
1 1 2
direct
0.0000 0.0000 0.0000
0.5000 0.5000 0.5000
0.2498 0.2498 0.2498
0.7502 0.7502 0.7502
```

## Properties
- V: 47.7 Å³ per cell
- Energy: -6.42 eV per atom

***

5.
A plane-wave DFT calculation with PBE-GGA was carried out for crystalline SiP at its relaxed geometry.

POSCAR file:
```
SiP
1.0
6.7986 0.0000 0.0000
0.0000 6.7986 0.0000
0.0000 0.0000 3.4877
Si P
4 4
direct
0.1597 0.1597 0.0000
0.3403 0.6597 0.5000
0.6597 0.3403 0.5000
0.8403 0.8403 0.0000
0.1859 0.8141 0.0000
0.3141 0.3141 0.5000
0.6859 0.6859 0.5000
0.8141 0.1859 0.0000
```

## Properties
- V: 161.2 Å³ per cell
- Formation energy without anion corrections: 0.4 eV/f.u.

***

6.
A plane-wave DFT calculation with PBE-GGA was carried out for crystalline K3BaAl at its relaxed geometry.

POSCAR file:
```
K3BaAl
1.0
7.7135 0.0000 0.0000
0.0000 7.7135 0.0000
0.0000 0.0000 7.7135
K Ba Al
3 1 1
direct
0.0000 0.0000 0.5000
0.0000 0.5000 0.0000
0.5000 0.0000 0.0000
0.0000 0.0000 0.0000
0.5000 0.5000 0.5000
```

## Properties
- V: 458.9 Å³ per cell
- Offset from the most stable computed form: 595 meV/atom